A PBEsol-optimized structure of SbOsO3, computed with meta-GGA SCAN.

```
data_SbOsO3
_cell_length_a 3.941
_cell_length_b 3.941
_cell_length_c 3.941
_cell_angle_alpha 90.00
_cell_angle_beta 90.00
_cell_angle_gamma 90.00
_symmetry_space_group_name_H-M 'P 1'
_symmetry_Int_Tables_number 1
loop_
_symmetry_equiv_pos_as_xyz
'x,y,z'
loop_
_atom_site_label
_atom_site_type_symbol
_atom_site_fract_x
_atom_site_fract_y
_atom_site_fract_z
Sb1 Sb 0.500 0.500 0.500
O1 O 0.000 0.000 0.500
O2 O 0.000 0.500 0.000
O3 O 0.500 0.000 0.000
Os1 Os 0.000 0.000 0.000
```

* total moment: 1.5 μB/f.u.
* E_tot: -25.951 eV per atom
* space-group type: Pm-3m (221)
* formation energy (no corrections): -0.3842 eV per atom